A plane-wave DFT calculation with PBE-GGA was carried out for a geometry-optimized RbSm2MnS4 structure.

Cell and atoms, written as POSCAR:
```
RbSm2MnS4
1.0
4.0521 0.0000 0.0000
-2.0260 7.0567 0.0000
0.0000 0.0000 14.0816
Rb Sm Mn S
2 4 2 8
Direct
0.1023 0.2046 0.7500
0.8977 0.7954 0.2500
0.3676 0.7351 0.5573
0.6324 0.2649 0.0573
0.6324 0.2649 0.4427
0.3676 0.7351 0.9427
0.8294 0.6588 0.7500
0.1706 0.3412 0.2500
0.2617 0.5234 0.1110
0.7383 0.4766 0.6110
0.7383 0.4766 0.8890
0.2617 0.5234 0.3890
0.0000 0.0000 0.5000
0.0000 0.0000 0.0000
0.4208 0.8417 0.7500
0.5792 0.1583 0.2500
```

Properties
As for the total energy: -6.109 eV per atom. The formation energy from raw total energies is -1599 meV/atom. Its total magnetization is 8.30 μB/cell.



A plane-wave DFT calculation with PBE-GGA was carried out for a geometry-optimized LiTl2IrBr6 structure.

Cell and atoms, written as POSCAR:
```
LiTl2IrBr6
1.0
8.1954 0.0000 0.0000
0.0000 8.0420 0.0000
0.0000 0.0000 9.1960
Li Tl Ir Br
2 4 2 12
Direct
0.0000 0.5696 0.5000
0.5000 0.4304 0.0000
0.5000 0.8114 0.2611
0.0000 0.1886 0.7611
0.5000 0.8114 0.7389
0.0000 0.1886 0.2389
0.5000 0.2552 0.5000
0.0000 0.7448 0.0000
0.5000 0.2364 0.2263
0.5000 0.2364 0.7737
0.0000 0.7636 0.2737
0.0000 0.7636 0.7263
0.2834 0.0359 0.5000
0.7166 0.0359 0.5000
0.2928 0.4864 0.5000
0.7072 0.4864 0.5000
0.7928 0.5136 0.0000
0.2072 0.5136 0.0000
0.2166 0.9641 0.0000
0.7834 0.9641 0.0000
```

Properties
As for the total energy: -3.248 eV per atom. The formation energy from raw total energies is -693 meV/atom. Its total magnetization is 0.00 μB/cell.



A plane-wave DFT calculation with PBE-GGA was carried out for a geometry-optimized Si2Au structure.

Cell and atoms, written as POSCAR:
```
Si2Au
1.0
3.4668 -6.0047 0.0000
3.4668 6.0047 0.0000
0.0000 0.0000 3.7621
Si Au
6 3
Direct
0.2734 0.0000 0.0000
0.0000 0.2734 0.0000
0.7266 0.7266 0.0000
0.6030 0.0000 0.5000
0.0000 0.6030 0.5000
0.3970 0.3970 0.5000
0.3333 0.6667 0.0000
0.6667 0.3333 0.0000
0.0000 0.0000 0.5000
```

Properties
As for the total energy: -4.330 eV per atom. The formation energy from raw total energies is 378 meV/atom. The value obtained for the polymorph energy (0 for the lowest one) is 282 meV per atom. Its total magnetization is 0.00 μB/cell.



V
In order: 402.7 606.1 156.6
Unit: Å³/cell